Record 1
A relaxed Sb2PPt crystal, computed with PBE.

Output
Formation energy from raw total energies: -26 meV/atom
DOS(E_F): 0.478 states/eV per atom
Raw total energy: -39.6 eV per cell
Spin magnetization: 0.000 μB/f.u.

Structure (POSCAR):
```
Sb2PPt
1.0
6.096 0.000 0.000
0.000 6.096 0.000
3.048 3.048 5.964
Sb P Pt
4 2 2
Direct
0.375 0.364 0.750 Sb
0.114 0.625 0.250 Sb
0.875 0.886 0.750 Sb
0.636 0.125 0.250 Sb
0.250 0.750 0.500 P
0.500 0.500 0.000 P
0.750 0.250 0.500 Pt
0.000 0.000 0.000 Pt
```

=====

Record 2
A relaxed SbPPt2 crystal, computed with PBE.

Output
Polymorph energy (0 for the lowest one): 1.57 eV per formula unit
Formation energy from raw total energies: -6 meV/atom
DOS(E_F): 0.413 states/eV per atom
Raw total energy: -21.6 eV per cell
Spin magnetization: 0.000 μB/f.u.

Structure (POSCAR):
```
SbPPt2
1.0
-4.617 -0.620 2.283
-1.324 4.316 2.555
1.162 -1.679 -4.769
Pt Sb P
2 1 1
Direct
0.970 0.970 0.000 Pt
0.244 0.744 0.500 Pt
0.507 0.507 0.000 Sb
0.779 0.279 0.500 P
```

=====

Record 3
A relaxed Sb2PPt crystal, computed with PBE.

Output
Formation energy from raw total energies: 106 meV/atom
DOS(E_F): 0.598 states/eV per atom
Raw total energy: -19.3 eV per cell
Spin magnetization: 0.000 μB/f.u.

Structure (POSCAR):
```
Sb2PPt
1.0
-1.759 -2.372 0.312
3.006 -2.142 0.660
-0.613 1.433 7.446
Sb Pt P
2 1 1
Direct
0.500 0.000 0.767 Sb
0.500 0.000 0.233 Sb
0.000 0.500 0.000 Pt
0.500 0.500 0.500 P
```

=====

Record 4
A relaxed Sb6PPt2 crystal, computed with PBE.

Output
Formation energy from raw total energies: 32 meV/atom
DOS(E_F): 0.402 states/eV per atom
Raw total energy: -41.9 eV per cell
Spin magnetization: 0.000 μB/f.u.

Structure (POSCAR):
```
Sb6PPt2
1.0
-1.354 1.151 -7.411
-5.790 -0.150 4.953
0.377 4.075 0.564
Sb P Pt
6 1 2
Direct
0.567 0.000 0.000 Sb
0.433 0.433 0.000 Sb
0.000 0.567 0.000 Sb
0.726 0.726 0.500 Sb
0.274 0.000 0.500 Sb
0.000 0.274 0.500 Sb
0.000 0.000 0.000 P
0.333 0.667 0.500 Pt
0.667 0.333 0.500 Pt
```

=====

Record 5
A relaxed SbPPt2 crystal, computed with PBE.

Output
Polymorph energy (0 for the lowest one): 1.44 eV per formula unit
Formation energy from raw total energies: -37 meV/atom
DOS(E_F): 0.770 states/eV per atom
Raw total energy: -21.8 eV per cell
Spin magnetization: 0.000 μB/f.u.

Structure (POSCAR):
```
SbPPt2
1.0
0.000 3.706 3.713
2.760 0.000 3.713
2.760 3.706 0.000
P Pt Sb
1 2 1
Direct
0.500 0.500 0.500 P
0.500 0.000 0.000 Pt
0.000 0.500 0.500 Pt
0.000 0.000 0.000 Sb
```

=====

Record 6
A relaxed Sb2PPt crystal, computed with PBE.

Output
Formation energy from raw total energies: -139 meV/atom
DOS(E_F): 0.510 states/eV per atom
Raw total energy: -20.3 eV per cell
Spin magnetization: 0.000 μB/f.u.

Structure (POSCAR):
```
Sb2PPt
1.0
6.723 -1.932 0.004
6.723 1.932 0.004
6.165 0.000 3.303
P Sb Pt
1 2 1
Direct
0.000 0.000 0.000 P
0.751 0.751 0.751 Sb
0.249 0.249 0.249 Sb
0.500 0.500 0.500 Pt
```